No. 1
# FeHO2 | Alexandria via LeMat-Bulk | GGA+U | optimized geometry
# Size of the total moment   20.00 μB/cell
# E   -5.86 eV/atom
data_FeHO2
_space_group_name_H-M_alt 'P n m a'
_space_group_IT_number 62
_space_group_name_Hall '-P 2ac 2n'
_cell_length_a 8.009
_cell_length_b 3.379
_cell_length_c 5.967
_cell_angle_alpha 90.00
_cell_angle_beta 90.00
_cell_angle_gamma 90.00
loop_
_atom_site_label
_atom_site_type_symbol
_atom_site_fract_x
_atom_site_fract_y
_atom_site_fract_z
Fe1 Fe 0.239 0.250 0.229
H1 H 0.009 0.250 0.478
O1 O 0.007 0.750 0.686
O2 O 0.224 0.750 0.058

No. 2
# FeHO2 | Alexandria via LeMat-Bulk | GGA+U | optimized geometry
# Size of the total moment   39.99 μB/cell
# E   -5.99 eV/atom
data_FeHO2
_space_group_name_H-M_alt 'I 4/m'
_space_group_IT_number 87
_space_group_name_Hall '-I 4'
_cell_length_a 10.658
_cell_length_b 10.658
_cell_length_c 3.081
_cell_angle_alpha 90.00
_cell_angle_beta 90.00
_cell_angle_gamma 90.00
loop_
_atom_site_label
_atom_site_type_symbol
_atom_site_fract_x
_atom_site_fract_y
_atom_site_fract_z
Fe1 Fe 0.148 0.352 0.000
H1 H 0.085 0.160 0.500
O1 O 0.035 0.671 0.000
O2 O 0.159 0.212 0.500

No. 3
# FeHO2 | Alexandria via LeMat-Bulk | GGA+U | optimized geometry
# Size of the total moment   20.00 μB/cell
# E   -6.05 eV/atom
data_FeHO2
_space_group_name_H-M_alt 'P n m a'
_space_group_IT_number 62
_space_group_name_Hall '-P 2ac 2n'
_cell_length_a 10.070
_cell_length_b 3.066
_cell_length_c 4.637
_cell_angle_alpha 90.00
_cell_angle_beta 90.00
_cell_angle_gamma 90.00
loop_
_atom_site_label
_atom_site_type_symbol
_atom_site_fract_x
_atom_site_fract_y
_atom_site_fract_z
Fe1 Fe 0.142 0.250 0.063
H1 H 0.095 0.750 0.604
O1 O 0.059 0.750 0.808
O2 O 0.193 0.750 0.318

No. 4
# FeHO2 | Alexandria via LeMat-Bulk | GGA+U | optimized geometry
# Size of the total moment   5.00 μB/cell
# E   -5.99 eV/atom
data_FeHO2
_space_group_name_H-M_alt 'P 3 m 1'
_space_group_IT_number 156
_space_group_name_Hall 'P 3 -2"'
_cell_length_a 3.0757
_cell_length_b 3.0757
_cell_length_c 4.7848
_cell_angle_alpha 90.00
_cell_angle_beta 90.00
_cell_angle_gamma 120.00
loop_
_atom_site_label
_atom_site_type_symbol
_atom_site_fract_x
_atom_site_fract_y
_atom_site_fract_z
Fe1 Fe 0.0000 0.0000 0.0000
H1 H 0.6667 0.3333 0.5550
O1 O 0.3333 0.6667 0.1902
O2 O 0.6667 0.3333 0.7598

No. 5
# Fe8H10O17 | Alexandria via LeMat-Bulk | GGA+U | optimized geometry
# Size of the total moment   33.92 μB/cell
# E   -5.68 eV/atom
data_Fe8H10O17
_space_group_name_H-M_alt 'P 1'
_space_group_IT_number 1
_space_group_name_Hall 'P 1'
_cell_length_a 6.013
_cell_length_b 9.894
_cell_length_c 10.533
_cell_angle_alpha 94.95
_cell_angle_beta 90.59
_cell_angle_gamma 90.15
loop_
_atom_site_label
_atom_site_type_symbol
_atom_site_fract_x
_atom_site_fract_y
_atom_site_fract_z
Fe1 Fe 0.000 0.000 0.000
Fe2 Fe 0.000 0.341 0.268
Fe3 Fe 0.233 0.830 0.769
Fe4 Fe 0.246 0.481 0.500
Fe5 Fe 0.252 0.321 0.976
Fe6 Fe 0.260 0.019 0.306
Fe7 Fe 0.496 0.484 0.796
Fe8 Fe 0.499 0.003 0.995
Fe9 Fe 0.501 0.339 0.263
Fe10 Fe 0.513 0.996 0.604
Fe11 Fe 0.746 0.321 0.978
Fe12 Fe 0.751 0.817 0.775
Fe13 Fe 0.757 0.476 0.499
Fe14 Fe 0.759 0.996 0.303
Fe15 Fe 0.990 0.834 0.483
Fe16 Fe 0.993 0.495 0.788
H1 H 0.007 0.653 0.611
H2 H 0.132 0.770 0.196
H3 H 0.247 0.180 0.152
H4 H 0.258 0.784 0.027
H5 H 0.262 0.556 0.253
H6 H 0.284 0.572 0.005
H7 H 0.291 0.234 0.612
H8 H 0.386 0.797 0.190
H9 H 0.418 0.214 0.743
H10 H 0.486 0.652 0.666
H11 H 0.517 0.240 0.467
H12 H 0.573 0.704 0.527
H13 H 0.656 0.760 0.363
H14 H 0.733 0.809 0.065
H15 H 0.746 0.598 0.976
H16 H 0.753 0.174 0.157
H17 H 0.754 0.553 0.257
H18 H 0.906 0.054 0.711
H19 H 0.917 0.112 0.574
H20 H 0.964 0.240 0.775
O1 O 0.000 0.355 0.455
O2 O 0.000 0.359 0.091
O3 O 0.010 0.009 0.423
O4 O 0.010 0.633 0.513
O5 O 0.015 0.966 0.186
O6 O 0.238 0.862 0.588
O7 O 0.249 0.453 0.679
O8 O 0.251 0.130 0.009
O9 O 0.251 0.213 0.248
O10 O 0.255 0.854 0.967
O11 O 0.256 0.472 0.297
O12 O 0.257 0.512 0.928
O13 O 0.273 0.719 0.182
O14 O 0.342 0.162 0.663
O15 O 0.489 0.679 0.760
O16 O 0.496 0.336 0.449
O17 O 0.497 0.305 0.856
O18 O 0.500 0.959 0.187
O19 O 0.501 0.361 0.091
O20 O 0.503 0.955 0.791
O21 O 0.516 0.038 0.425
O22 O 0.519 0.608 0.504
O23 O 0.719 0.841 0.588
O24 O 0.732 0.450 0.676
O25 O 0.744 0.847 0.983
O26 O 0.749 0.128 0.010
O27 O 0.750 0.469 0.299
O28 O 0.750 0.515 0.919
O29 O 0.752 0.204 0.253
O30 O 0.794 0.797 0.331
O31 O 0.831 0.120 0.654
O32 O 0.984 0.957 0.809
O33 O 0.993 0.309 0.849
O34 O 0.997 0.684 0.757

No. 6
# FeH4O2 | Alexandria via LeMat-Bulk | GGA+U | optimized geometry
# Size of the total moment   6.97 μB/cell
# E   -4.11 eV/atom
data_FeH4O2
_space_group_name_H-M_alt 'I 4/m m m'
_space_group_IT_number 139
_space_group_name_Hall '-I 4 2'
_cell_length_a 3.293
_cell_length_b 3.293
_cell_length_c 10.680
_cell_angle_alpha 90.00
_cell_angle_beta 90.00
_cell_angle_gamma 90.00
loop_
_atom_site_label
_atom_site_type_symbol
_atom_site_fract_x
_atom_site_fract_y
_atom_site_fract_z
Fe1 Fe 0.000 0.000 0.000
H1 H 0.000 0.000 0.288
H2 H 0.000 0.500 0.000
O1 O 0.000 0.000 0.380

What did the sixth record say?
# FeH4O2 | Alexandria via LeMat-Bulk | GGA+U | optimized geometry
# Size of the total moment   6.97 μB/cell
# E   -4.11 eV/atom
data_FeH4O2
_space_group_name_H-M_alt 'I 4/m m m'
_space_group_IT_number 139
_space_group_name_Hall '-I 4 2'
_cell_length_a 3.293
_cell_length_b 3.293
_cell_length_c 10.680
_cell_angle_alpha 90.00
_cell_angle_beta 90.00
_cell_angle_gamma 90.00
loop_
_atom_site_label
_atom_site_type_symbol
_atom_site_fract_x
_atom_site_fract_y
_atom_site_fract_z
Fe1 Fe 0.000 0.000 0.000
H1 H 0.000 0.000 0.288
H2 H 0.000 0.500 0.000
O1 O 0.000 0.000 0.380